1.
DFT (GGA-PBE) results for a relaxed GaPtSe2 crystal.

raw formation energy: -0.24 eV/atom
energy: -17.01 eV per formula unit

Cell lengths 5.8092, 5.8092, 11.4784 Å; angles 90.00, 90.00, 90.00 degrees
Space group I-42d (No. 122)
One atom of each set of equivalent atoms:
Ga (0.0000, 0.0000, 0.0000)
Pt (0.0000, 0.0000, 0.5000)
Se (0.2427, 0.2500, 0.6250)


2.
DFT (GGA-PBE) results for a relaxed Ga3PtSe crystal.

raw formation energy: 0.65 eV/atom
energy: -15.35 eV per formula unit
polymorph energy (0 for the lowest one): 971 meV/atom

Cell lengths 4.9208, 4.9208, 4.9208 Å; angles 90.00, 90.00, 90.00 degrees
Space group Pm-3m (No. 221)
One atom of each set of equivalent atoms:
Ga (0.0000, 0.0000, 0.5000)
Pt (0.5000, 0.5000, 0.5000)
Se (0.0000, 0.0000, 0.0000)


3.
DFT (GGA-PBE) results for a relaxed Th4GaPtSe2 crystal.

raw formation energy: -1.15 eV/atom
energy: -54.90 eV per formula unit

Cell lengths 7.3727, 4.2006, 7.5292 Å; angles 90.00, 109.07, 90.00 degrees
Space group P2/m (No. 10)
One atom of each set of equivalent atoms:
Th (0.2305, 0.0000, 0.2380)
Th (0.2423, 0.5000, 0.7498)
Ga (0.0000, 0.0000, 0.5000)
Pt (0.0000, 0.5000, 0.0000)
Se (0.5000, 0.0000, 0.0000)
Se (0.5000, 0.5000, 0.5000)


4.
DFT (GGA-PBE) results for a relaxed Tm8Ga3PtSe4 crystal.

raw formation energy: -1.19 eV/atom
energy: -83.88 eV per formula unit

Cell lengths 7.8301, 7.8301, 21.5352 Å; angles 90.00, 90.00, 120.00 degrees
Space group R-3m (No. 166, hexagonal axes)
One atom of each set of equivalent atoms:
Tm (0.0000, 0.0000, 0.2480)
Tm (0.0071, 0.5035, 0.7490)
Ga (0.0000, 0.5000, 0.0000)
Pt (0.0000, 0.0000, 0.0000)
Se (0.0000, 0.0000, 0.5000)
Se (0.0000, 0.5000, 0.5000)


5.
DFT (GGA-PBE) results for a relaxed GaPt2WSe crystal.

raw formation energy: 1.32 eV/atom
energy: -24.93 eV per formula unit

Cell lengths 4.6996, 4.6996, 4.7366 Å; angles 90.00, 90.00, 90.00 degrees
Space group P4/mmm (No. 123)
One atom of each set of equivalent atoms:
Ga (0.0000, 0.0000, 0.0000)
Pt (0.0000, 0.5000, 0.5000)
W (0.5000, 0.5000, 0.0000)
Se (0.0000, 0.0000, 0.5000)


6.
DFT (GGA-PBE) results for a relaxed GaSi2Pt2 crystal.

raw formation energy: -0.20 eV/atom
energy: -26.97 eV per formula unit
polymorph energy (0 for the lowest one): 297 meV/atom

Cell lengths 7.7285, 7.7285, 2.6810 Å; angles 90.00, 90.00, 90.00 degrees
Space group P4/mbm (No. 127)
One atom of each set of equivalent atoms:
Ga (0.0000, 0.0000, 0.0000)
Si (0.1313, 0.3687, 0.0000)
Pt (0.1628, 0.6628, 0.5000)


7.
DFT (GGA-PBE) results for a relaxed GaSiPt crystal.

raw formation energy: -0.55 eV/atom
energy: -16.13 eV per formula unit

Cell lengths 5.8263, 5.9656, 5.9168 Å; angles 90.00, 92.83, 90.00 degrees
Space group C2/m (No. 12)
One atom of each set of equivalent atoms:
Ga (0.0000, 0.2379, 0.0000)
Si (0.0000, 0.2638, 0.5000)
Pt (0.2485, 0.0000, 0.7226)


8.
DFT (GGA-PBE) results for a relaxed GaSiPt5 crystal.

raw formation energy: -0.12 eV/atom
energy: -39.52 eV per formula unit

Cell lengths 11.6940, 7.4175, 8.0507 Å; angles 90.00, 131.05, 90.00 degrees
Space group C2/c (No. 15)
One atom of each set of equivalent atoms:
Ga (0.0000, 0.2022, 0.2500)
Si (0.2500, 0.2500, 0.0000)
Pt (0.0000, 0.1379, 0.7500)
Pt (0.1113, 0.3393, 0.6100)
Pt (0.2361, 0.4281, 0.4386)


9.
DFT (GGA-PBE) results for a relaxed GaSiPt3 crystal.

raw formation energy: 0.68 eV/atom
energy: -23.18 eV per formula unit
polymorph energy (0 for the lowest one): 1163 meV/atom

Cell lengths 4.6441, 4.6441, 4.6441 Å; angles 90.00, 90.00, 90.00 degrees
Space group Pm-3m (No. 221)
One atom of each set of equivalent atoms:
Ga (0.0000, 0.0000, 0.0000)
Si (0.5000, 0.5000, 0.5000)
Pt (0.0000, 0.0000, 0.5000)


10.
DFT (GGA-PBE) results for a relaxed GaSi2Pt2 crystal.

raw formation energy: -0.36 eV/atom
energy: -27.76 eV per formula unit
polymorph energy (0 for the lowest one): 138 meV/atom

Cell lengths 3.8127, 3.8127, 11.5956 Å; angles 90.00, 90.00, 90.00 degrees
Space group I4/mmm (No. 139)
One atom of each set of equivalent atoms:
Ga (0.0000, 0.0000, 0.0000)
Si (0.0000, 0.5000, 0.2500)
Pt (0.0000, 0.0000, 0.3767)


11.
DFT (GGA-PBE) results for a relaxed Ga3SiPt crystal.

raw formation energy: 0.51 eV/atom
energy: -18.01 eV per formula unit
polymorph energy (0 for the lowest one): 300 meV/atom

Cell lengths 4.7063, 4.7063, 4.7063 Å; angles 90.00, 90.00, 90.00 degrees
Space group Pm-3m (No. 221)
One atom of each set of equivalent atoms:
Ga (0.0000, 0.0000, 0.5000)
Si (0.0000, 0.0000, 0.0000)
Pt (0.5000, 0.5000, 0.5000)


12.
DFT (GGA-PBE) results for a relaxed GaSi2Pt2 crystal.

raw formation energy: -0.50 eV/atom
energy: -28.46 eV per formula unit
polymorph energy (0 for the lowest one): 0 meV/atom

Cell lengths 6.2859, 3.6376, 7.5733 Å; angles 90.00, 102.00, 90.00 degrees
Space group P2_1/m (No. 11)
One atom of each set of equivalent atoms:
Ga (0.0350, 0.2500, 0.3563)
Si (0.2396, 0.2500, 0.9405)
Si (0.4525, 0.2500, 0.7206)
Pt (0.1662, 0.7500, 0.1204)
Pt (0.3161, 0.7500, 0.5182)


13.
DFT (GGA-PBE) results for a relaxed GaSiPt3 crystal.

raw formation energy: 0.17 eV/atom
energy: -25.70 eV per formula unit
polymorph energy (0 for the lowest one): 660 meV/atom

Cell lengths 4.5622, 4.5622, 4.5622 Å; angles 90.00, 90.00, 90.00 degrees
Space group Pm-3m (No. 221)
One atom of each set of equivalent atoms:
Ga (0.0000, 0.0000, 0.0000)
Si (0.5000, 0.5000, 0.5000)
Pt (0.0000, 0.5000, 0.5000)